LaAs3S | PBE-GGA | optimized geometry

## Properties
Uncorrected formation energy   1.038 eV/atom
Mass density   3.51 g cm⁻³

Geometry as POSCAR:
```
LaAs3S
1.0
5.721 0.000 0.000
0.000 5.721 0.000
0.000 0.000 5.721
La As S
1 3 1
direct
0.000 0.000 0.000
0.000 0.000 0.500
0.000 0.500 0.000
0.500 0.000 0.000
0.500 0.500 0.500
```

=====

Th6Ge2Sb3P | PBE-GGA | optimized geometry

## Properties
Uncorrected formation energy   -0.995 eV/atom
Mass density   9.01 g cm⁻³

Geometry as POSCAR:
```
Th6Ge2Sb3P
1.0
9.609 -2.171 0.000
9.609 2.171 0.000
-2.248 0.000 8.542
Th Ge Sb P
6 2 3 1
direct
0.004 0.004 0.228
0.329 0.329 0.429
0.342 0.342 0.908
0.658 0.658 0.092
0.671 0.671 0.571
0.996 0.996 0.772
0.166 0.166 0.332
0.834 0.834 0.668
0.168 0.168 0.834
0.500 0.500 0.500
0.832 0.832 0.166
0.500 0.500 0.000
```

=====

YZn3Ir | PBE-GGA | optimized geometry

## Properties
Mass density   7.40 g cm⁻³
DFT formation energy   -0.09 eV/atom

Geometry as POSCAR:
```
YZn3Ir
1.0
4.749 0.000 0.000
0.000 4.749 0.000
0.000 0.000 4.749
Y Zn Ir
1 3 1
direct
0.000 0.000 0.000
0.000 0.500 0.500
0.500 0.000 0.500
0.500 0.500 0.000
0.500 0.500 0.500
```

=====

BaNaSeBr | PBE-GGA | optimized geometry

## Properties
Uncorrected formation energy   -1.628 eV/atom
Mass density   4.46 g cm⁻³

Geometry as POSCAR:
```
BaNaSeBr
1.0
0.000 3.903 3.903
3.903 0.000 3.903
3.903 3.903 0.000
Ba Na Se Br
1 1 1 1
direct
0.000 0.000 0.000
0.500 0.500 0.500
0.750 0.750 0.750
0.250 0.250 0.250
```

=====

V3Re3W | PBE-GGA | optimized geometry

## Properties
Mass density   13.71 g cm⁻³
DFT formation energy   0.10 eV/atom

Geometry as POSCAR:
```
V3Re3W
1.0
4.172 -4.341 0.000
4.172 4.341 0.000
0.000 0.000 5.989
V Re W
6 6 2
direct
0.240 0.760 0.000
0.253 0.253 0.500
0.259 0.741 0.500
0.741 0.259 0.500
0.747 0.747 0.500
0.760 0.240 0.000
0.000 0.000 0.251
0.000 0.000 0.749
0.000 0.500 0.254
0.000 0.500 0.746
0.500 0.000 0.254
0.500 0.000 0.746
0.296 0.296 0.000
0.704 0.704 0.000
```

=====

CsCdAsBr2 | PBE-GGA | optimized geometry

## Properties
Uncorrected formation energy   -0.591 eV/atom
Mass density   4.27 g cm⁻³

Geometry as POSCAR:
```
CsCdAsBr2
1.0
5.932 0.000 0.000
0.000 5.932 0.000
0.000 0.000 5.306
Cs Cd As Br
1 1 1 2
direct
0.000 0.000 0.000
0.500 0.500 0.500
0.500 0.500 0.000
0.000 0.500 0.500
0.500 0.000 0.500
```